Material: ThAlTc2C
Method: DFT, PBE-GGA
State: optimized geometry

SG = Cmcm (63)
magnetic moment = 0.000 μB/atom
DOS at the Fermi energy = 6.5 states/eV per cell
theoretical density = 9.2 g/cm3
energy of formation from the pure elements = -321 meV/atom

a = 5.9188 Å, b = 5.9188 Å, c = 7.5321 Å
α = 90.00°, β = 90.00°, γ = 140.23°
Closest atoms and distances in Å follow each position.
Fractional positions:
Th1 0.0443 0.9557 0.7500  4 C 2.80, 1 Al 3.10
Th2 0.9557 0.0443 0.2500  4 C 2.80, 1 Al 3.10
Al1 0.2338 0.7662 0.2500  6 Tc 2.55-2.57
Al2 0.7662 0.2338 0.7500  6 Tc 2.55-2.57
Tc1 0.3280 0.6720 0.5580  1 C 1.96
Tc2 0.3280 0.6720 0.9420  1 C 1.96
Tc3 0.6720 0.3280 0.0580  1 C 1.96
Tc4 0.6720 0.3280 0.4420  1 C 1.96
C1 0.5000 0.5000 0.0000  2 Tc 1.96
C2 0.5000 0.5000 0.5000  2 Tc 1.96